Entry 1:
! TmZr4Co2 | the Alexandria database | PBE | relaxed; values from VASP
&SYSTEM
  ibrav = 0, nat = 14, ntyp = 3
/
ATOMIC_SPECIES
Co 58.93 Co.upf
Zr 91.22 Zr.upf
Tm 168.93 Tm.upf
ATOMIC_POSITIONS angstrom
Co 1.501 1.850 -0.623
Co 4.503 4.785 5.695
Co 4.503 2.669 2.170
Co 1.501 3.965 2.902
Zr 1.501 1.620 1.955
Zr 2.989 3.885 0.290
Zr 5.991 2.749 4.782
Zr 0.013 3.885 0.290
Zr 1.501 6.200 2.063
Zr 4.503 0.435 3.009
Zr 4.503 5.014 3.117
Zr 3.015 2.749 4.782
Tm 1.501 5.684 5.188
Tm 4.503 0.950 -0.115
CELL_PARAMETERS angstrom
6.004 0.000 0.000
0.000 6.221 -2.414
0.000 0.413 7.486
! - energy of formation from the pure elements (eV per atom) = -0.126
! - Fermi-level density of states (states/eV per atom) = 1.1408
! - total moment (μB per formula unit) = 0.00
! - calculated volume (Å³/f.u.) = 142.8

Entry 2:
! BaAlHg2 | the Alexandria database | PBE | relaxed; values from VASP
&SYSTEM
  ibrav = 0, nat = 4, ntyp = 3
/
ATOMIC_SPECIES
Hg 200.59 Hg.upf
Ba 137.33 Ba.upf
Al 26.98 Al.upf
ATOMIC_POSITIONS angstrom
Hg -1.621 -1.760 2.621
Hg -0.173 -0.188 0.280
Ba -1.394 -5.135 3.668
Al 0.401 -3.188 0.767
CELL_PARAMETERS angstrom
-0.676 -2.860 -2.339
3.272 -1.568 0.972
-3.589 -3.895 5.801
! - energy of formation from the pure elements (eV per atom) = -0.180
! - Fermi-level density of states (states/eV per atom) = 0.5163
! - total moment (μB per formula unit) = 0.00
! - calculated volume (Å³/f.u.) = 110.8

Entry 3:
! LaDy3In2 | the Alexandria database | PBE | relaxed; values from VASP
&SYSTEM
  ibrav = 0, nat = 12, ntyp = 3
/
ATOMIC_SPECIES
La 138.91 La.upf
Dy 162.50 Dy.upf
In 114.82 In.upf
ATOMIC_POSITIONS angstrom
La 2.712 2.234 6.594
La 0.000 1.914 0.501
Dy 0.000 2.577 4.292
Dy 2.712 -1.224 5.284
Dy 0.000 5.373 1.811
Dy 2.712 1.571 2.803
Dy 2.712 5.002 3.961
Dy 0.000 -0.854 3.134
In 0.000 7.976 0.253
In 2.712 4.201 0.674
In 0.000 -0.053 6.420
In 2.712 -3.827 6.841
CELL_PARAMETERS angstrom
5.423 0.000 0.000
-2.712 8.906 -0.840
0.000 -4.758 7.935
! - energy of formation from the pure elements (eV per atom) = -0.261
! - Fermi-level density of states (states/eV per atom) = 1.1157
! - total moment (μB per formula unit) = 0.23
! - energy relative to the lowest polymorph listed for this composition (kcal/mol of atoms) = 2.04
! - calculated volume (Å³/f.u.) = 180.8

- Look up the energy of formation from the pure elements of the second one.
  -0.180 eV per atom

What did the first record say?
! TmZr4Co2 | the Alexandria database | PBE | relaxed; values from VASP
&SYSTEM
  ibrav = 0, nat = 14, ntyp = 3
/
ATOMIC_SPECIES
Co 58.93 Co.upf
Zr 91.22 Zr.upf
Tm 168.93 Tm.upf
ATOMIC_POSITIONS angstrom
Co 1.501 1.850 -0.623
Co 4.503 4.785 5.695
Co 4.503 2.669 2.170
Co 1.501 3.965 2.902
Zr 1.501 1.620 1.955
Zr 2.989 3.885 0.290
Zr 5.991 2.749 4.782
Zr 0.013 3.885 0.290
Zr 1.501 6.200 2.063
Zr 4.503 0.435 3.009
Zr 4.503 5.014 3.117
Zr 3.015 2.749 4.782
Tm 1.501 5.684 5.188
Tm 4.503 0.950 -0.115
CELL_PARAMETERS angstrom
6.004 0.000 0.000
0.000 6.221 -2.414
0.000 0.413 7.486
! - energy of formation from the pure elements (eV per atom) = -0.126
! - Fermi-level density of states (states/eV per atom) = 1.1408
! - total moment (μB per formula unit) = 0.00
! - calculated volume (Å³/f.u.) = 142.8

- Look up the total moment of the second one.
  0.00 μB per formula unit